Density functional theory data (meta-GGA SCAN) for a crystal of CsLuMo2O8 relaxed with PBEsol.

a = 5.9108 Å, b = 5.9108 Å, c = 8.0569 Å
α = 90.00°, β = 90.00°, γ = 120.00°
With the nearest neighbours (Å) after each atom.
Fractional coordinates of all 12 atoms:
Cs (0.0000, 0.0000, 0.0000)  12 O 3.22-3.44
Lu (0.0000, 0.0000, 0.5000)  6 O 2.17
Mo (0.3333, 0.6667, 0.2679)  4 O 1.72-1.78
Mo (0.6667, 0.3333, 0.7321)  4 O 1.72-1.78
O (0.1686, 0.3373, 0.3377)  1 Mo 1.78
O (0.1686, 0.8314, 0.3377)  1 Mo 1.78
O (0.3333, 0.6667, 0.0545)  1 Mo 1.72
O (0.3373, 0.1686, 0.6623)  1 Mo 1.78
O (0.6627, 0.8314, 0.3377)  1 Mo 1.78
O (0.6667, 0.3333, 0.9455)  1 Mo 1.72
O (0.8314, 0.1686, 0.6623)  1 Mo 1.78
O (0.8314, 0.6627, 0.6623)  1 Mo 1.78

The value obtained for the formation energy (no corrections) is -2.66 eV per atom. Its uncorrected energy is -20.395 eV/atom.


Density functional theory data (meta-GGA SCAN) for a crystal of CsLuMo2O8 relaxed with PBEsol.

a = 7.3996 Å, b = 7.3996 Å, c = 7.5642 Å
α = 117.86°, β = 117.86°, γ = 88.29°
With the nearest neighbours (Å) after each atom.
Fractional coordinates of all 24 atoms:
Cs (0.1946, 0.8054, 0.7500)  10 O 2.84-3.08
Cs (0.8054, 0.1946, 0.2500)  10 O 2.84-3.08
Lu (0.2290, 0.7710, 0.2500)  6 O 2.22-2.31
Lu (0.7710, 0.2290, 0.7500)  6 O 2.22-2.31
Mo (0.3032, 0.3068, 0.2687)  3 O 1.75-1.82
Mo (0.3068, 0.3032, 0.7687)  3 O 1.75-1.82
Mo (0.6932, 0.6968, 0.2313)  3 O 1.75-1.82
Mo (0.6968, 0.6932, 0.7313)  3 O 1.75-1.82
O (0.0497, 0.2180, 0.7063)  1 Mo 1.79
O (0.0624, 0.3752, 0.1204)  1 Mo 1.82
O (0.2180, 0.0497, 0.2063)  1 Mo 1.79
O (0.2428, 0.3840, 0.5673)  1 Mo 1.75
O (0.3691, 0.5888, 0.0369)  2 Mo 1.99-2.07, 1 Lu 2.22
O (0.3752, 0.0624, 0.6204)  1 Mo 1.82
O (0.3840, 0.2428, 0.0673)  1 Mo 1.75
O (0.4112, 0.6309, 0.4631)  2 Mo 1.99-2.07, 1 Lu 2.22
O (0.5888, 0.3691, 0.5369)  2 Mo 1.99-2.07, 1 Lu 2.22
O (0.6160, 0.7572, 0.9327)  1 Mo 1.75
O (0.6248, 0.9376, 0.3796)  1 Mo 1.82
O (0.6309, 0.4112, 0.9631)  2 Mo 1.99-2.07, 1 Lu 2.22
O (0.7572, 0.6160, 0.4327)  1 Mo 1.75
O (0.7820, 0.9503, 0.7937)  1 Mo 1.79
O (0.9376, 0.6248, 0.8796)  1 Mo 1.82
O (0.9503, 0.7820, 0.2937)  1 Mo 1.79

The value obtained for the formation energy (no corrections) is -2.61 eV per atom. Its uncorrected energy is -20.341 eV/atom.


Density functional theory data (meta-GGA SCAN) for a crystal of CsMg3Mo relaxed with PBEsol.

a = 5.4988 Å, b = 5.4988 Å, c = 5.4988 Å
α = 90.00°, β = 90.00°, γ = 90.00°
With the nearest neighbours (Å) after each atom.
Fractional coordinates of all 5 atoms:
Cs (0.0000, 0.0000, 0.0000)  12 Mg 3.89
Mg (0.0000, 0.5000, 0.5000)  2 Mo 2.75
Mg (0.5000, 0.0000, 0.5000)  2 Mo 2.75
Mg (0.5000, 0.5000, 0.0000)  2 Mo 2.75
Mo (0.5000, 0.5000, 0.5000)  6 Mg 2.75

Its uncorrected energy is -16.709 eV/atom.


Density functional theory data (meta-GGA SCAN) for a crystal of Cs2Mg2Mo3O12 relaxed with PBEsol.

a = 10.8637 Å, b = 10.8637 Å, c = 10.8637 Å
α = 90.00°, β = 90.00°, γ = 90.00°
With the nearest neighbours (Å) after each atom.
Fractional coordinates of all 76 atoms:
Cs (0.0446, 0.0446, 0.0446)  6 O 3.10-3.47
Cs (0.1772, 0.3228, 0.6772)  9 O 3.15-3.26
Cs (0.3228, 0.6772, 0.1772)  9 O 3.15-3.26
Cs (0.4554, 0.9554, 0.5446)  6 O 3.10-3.47
Cs (0.5446, 0.4554, 0.9554)  6 O 3.10-3.47
Cs (0.6772, 0.1772, 0.3228)  9 O 3.15-3.26
Cs (0.8228, 0.8228, 0.8228)  9 O 3.15-3.26
Cs (0.9554, 0.5446, 0.4554)  6 O 3.10-3.47
Mg (0.1128, 0.8872, 0.3872)  6 O 2.08
Mg (0.1628, 0.6628, 0.8372)  6 O 2.07-2.09
Mg (0.3372, 0.3372, 0.3372)  6 O 2.07-2.09
Mg (0.3872, 0.1128, 0.8872)  6 O 2.08
Mg (0.6128, 0.6128, 0.6128)  6 O 2.08
Mg (0.6628, 0.8372, 0.1628)  6 O 2.07-2.09
Mg (0.8372, 0.1628, 0.6628)  6 O 2.07-2.09
Mg (0.8872, 0.3872, 0.1128)  6 O 2.08
Mo (0.0256, 0.1995, 0.3769)  4 O 1.76-1.77
Mo (0.1231, 0.9744, 0.6995)  4 O 1.76-1.77
Mo (0.1995, 0.3769, 0.0256)  4 O 1.76-1.77
Mo (0.3005, 0.6231, 0.5256)  4 O 1.76-1.77
Mo (0.3769, 0.0256, 0.1995)  4 O 1.76-1.77
Mo (0.4744, 0.8005, 0.8769)  4 O 1.76-1.77
Mo (0.5256, 0.3005, 0.6231)  4 O 1.76-1.77
Mo (0.6231, 0.5256, 0.3005)  4 O 1.76-1.77
Mo (0.6995, 0.1231, 0.9744)  4 O 1.76-1.77
Mo (0.8005, 0.8769, 0.4744)  4 O 1.76-1.77
Mo (0.8769, 0.4744, 0.8005)  4 O 1.76-1.77
Mo (0.9744, 0.6995, 0.1231)  4 O 1.76-1.77
O (0.0173, 0.5527, 0.7775)  1 Mo 1.76
O (0.0191, 0.0441, 0.3291)  1 Mo 1.77
O (0.0441, 0.3291, 0.0191)  1 Mo 1.77
O (0.0507, 0.7888, 0.2351)  1 Mo 1.76
O (0.0527, 0.7225, 0.9827)  1 Mo 1.76
O (0.1039, 0.8218, 0.7501)  1 Mo 1.76
O (0.1709, 0.9809, 0.5441)  1 Mo 1.77
O (0.1782, 0.2501, 0.3961)  1 Mo 1.76
O (0.2112, 0.7351, 0.4493)  1 Mo 1.76
O (0.2225, 0.5173, 0.9473)  1 Mo 1.76
O (0.2351, 0.0507, 0.7888)  1 Mo 1.76
O (0.2501, 0.3961, 0.1782)  1 Mo 1.76
O (0.2499, 0.6039, 0.6782)  1 Mo 1.76
O (0.2649, 0.9493, 0.2888)  1 Mo 1.76
O (0.2775, 0.4827, 0.4473)  1 Mo 1.76
O (0.2888, 0.2649, 0.9493)  1 Mo 1.76
O (0.3218, 0.7499, 0.8961)  1 Mo 1.76
O (0.3291, 0.0191, 0.0441)  1 Mo 1.77
O (0.3961, 0.1782, 0.2501)  1 Mo 1.76
O (0.4473, 0.2775, 0.4827)  1 Mo 1.76
O (0.4493, 0.2112, 0.7351)  1 Mo 1.76
O (0.4559, 0.6709, 0.5191)  1 Mo 1.77
O (0.4809, 0.9559, 0.8291)  1 Mo 1.77
O (0.4827, 0.4473, 0.2775)  1 Mo 1.76
O (0.5173, 0.9473, 0.2225)  1 Mo 1.76
O (0.5191, 0.4559, 0.6709)  1 Mo 1.77
O (0.5441, 0.1709, 0.9809)  1 Mo 1.77
O (0.5507, 0.7112, 0.7649)  1 Mo 1.76
O (0.5527, 0.7775, 0.0173)  1 Mo 1.76
O (0.6039, 0.6782, 0.2499)  1 Mo 1.76
O (0.6709, 0.5191, 0.4559)  1 Mo 1.77
O (0.6782, 0.2499, 0.6039)  1 Mo 1.76
O (0.7112, 0.7649, 0.5507)  1 Mo 1.76
O (0.7225, 0.9827, 0.0527)  1 Mo 1.76
O (0.7351, 0.4493, 0.2112)  1 Mo 1.76
O (0.7501, 0.1039, 0.8218)  1 Mo 1.76
O (0.7499, 0.8961, 0.3218)  1 Mo 1.76
O (0.7649, 0.5507, 0.7112)  1 Mo 1.76
O (0.7775, 0.0173, 0.5527)  1 Mo 1.76
O (0.7888, 0.2351, 0.0507)  1 Mo 1.76
O (0.8218, 0.7501, 0.1039)  1 Mo 1.76
O (0.8291, 0.4809, 0.9559)  1 Mo 1.77
O (0.8961, 0.3218, 0.7499)  1 Mo 1.76
O (0.9473, 0.2225, 0.5173)  1 Mo 1.76
O (0.9493, 0.2888, 0.2649)  1 Mo 1.76
O (0.9559, 0.8291, 0.4809)  1 Mo 1.77
O (0.9809, 0.5441, 0.1709)  1 Mo 1.77
O (0.9827, 0.0527, 0.7225)  1 Mo 1.76

The value obtained for the formation energy (no corrections) is -2.47 eV per atom. Its uncorrected energy is -16.415 eV/atom.


Density functional theory data (meta-GGA SCAN) for a crystal of CsMgMoSe2 relaxed with PBEsol.

a = 4.9363 Å, b = 4.9363 Å, c = 5.9026 Å
α = 90.00°, β = 90.00°, γ = 90.00°
With the nearest neighbours (Å) after each atom.
Fractional coordinates of all 5 atoms:
Cs (0.0000, 0.0000, 0.0000)  2 Mo 2.95
Mg (0.5000, 0.5000, 0.0000)  4 Cs 3.49, 8 Se 3.85
Mo (0.0000, 0.0000, 0.5000)  4 Se 2.47
Se (0.0000, 0.5000, 0.5000)  2 Mo 2.47
Se (0.5000, 0.0000, 0.5000)  2 Mo 2.47

The value obtained for the formation energy (no corrections) is 0.34 eV per atom. Its uncorrected energy is -23.221 eV/atom.


Density functional theory data (meta-GGA SCAN) for a crystal of Cs2MgN relaxed with PBEsol.

a = 5.7267 Å, b = 5.7267 Å, c = 5.7267 Å
α = 60.00°, β = 60.00°, γ = 60.00°
With the nearest neighbours (Å) after each atom.
Fractional coordinates of all 4 atoms:
Cs (0.2500, 0.2500, 0.2500)  4 N 3.51, 4 Mg 3.51
Cs (0.7500, 0.7500, 0.7500)  4 N 3.51, 4 Mg 3.51
Mg (0.0000, 0.0000, 0.0000)  8 Cs 3.51
N (0.5000, 0.5000, 0.5000)  8 Cs 3.51

The value obtained for the formation energy (no corrections) is 0.99 eV per atom. Its uncorrected energy is -21.481 eV/atom.


Density functional theory data (meta-GGA SCAN) for a crystal of Cs2MgZrP3O12 relaxed with PBEsol.

a = 10.3110 Å, b = 10.3110 Å, c = 10.3110 Å
α = 90.00°, β = 90.00°, γ = 90.00°
With the nearest neighbours (Å) after each atom.
Fractional coordinates of all 76 atoms:
Cs (0.0436, 0.0436, 0.0436)  9 O 3.00-3.34
Cs (0.1832, 0.3168, 0.6832)  12 O 3.03-3.35
Cs (0.3168, 0.6832, 0.1832)  12 O 3.03-3.35
Cs (0.4564, 0.9564, 0.5436)  9 O 3.00-3.34
Cs (0.5436, 0.4564, 0.9564)  9 O 3.00-3.34
Cs (0.6832, 0.1832, 0.3168)  12 O 3.03-3.35
Cs (0.8168, 0.8168, 0.8168)  12 O 3.03-3.35
Cs (0.9564, 0.5436, 0.4564)  9 O 3.00-3.34
Mg (0.1075, 0.8925, 0.3925)  6 O 2.07-2.08
Mg (0.3925, 0.1075, 0.8925)  6 O 2.07-2.08
Mg (0.6075, 0.6075, 0.6075)  6 O 2.07-2.08
Mg (0.8925, 0.3925, 0.1075)  6 O 2.07-2.08
Zr (0.1633, 0.6633, 0.8367)  6 O 2.06-2.10
Zr (0.3367, 0.3367, 0.3367)  6 O 2.06-2.10
Zr (0.6633, 0.8367, 0.1633)  6 O 2.06-2.10
Zr (0.8367, 0.1633, 0.6633)  6 O 2.06-2.10
P (0.0211, 0.2064, 0.3718)  4 O 1.52-1.57
P (0.1282, 0.9789, 0.7064)  4 O 1.52-1.57
P (0.2064, 0.3718, 0.0211)  4 O 1.52-1.57
P (0.2936, 0.6282, 0.5211)  4 O 1.52-1.57
P (0.3718, 0.0211, 0.2064)  4 O 1.52-1.57
P (0.4789, 0.7936, 0.8718)  4 O 1.52-1.57
P (0.5211, 0.2936, 0.6282)  4 O 1.52-1.57
P (0.6282, 0.5211, 0.2936)  4 O 1.52-1.57
P (0.7064, 0.1282, 0.9789)  4 O 1.52-1.57
P (0.7936, 0.8718, 0.4789)  4 O 1.52-1.57
P (0.8718, 0.4789, 0.7936)  4 O 1.52-1.57
P (0.9789, 0.7064, 0.1282)  4 O 1.52-1.57
O (0.0031, 0.5536, 0.7770)  1 P 1.57
O (0.0218, 0.0637, 0.3334)  1 P 1.52
O (0.0469, 0.7904, 0.2293)  1 P 1.53
O (0.0536, 0.7230, 0.9969)  1 P 1.57
O (0.0637, 0.3334, 0.0218)  1 P 1.52
O (0.1061, 0.8381, 0.7577)  1 P 1.56
O (0.1619, 0.2577, 0.3939)  1 P 1.56
O (0.1666, 0.9782, 0.5637)  1 P 1.52
O (0.2096, 0.7293, 0.4531)  1 P 1.53
O (0.2230, 0.5031, 0.9464)  1 P 1.57
O (0.2293, 0.0469, 0.7904)  1 P 1.53
O (0.2423, 0.6061, 0.6619)  1 P 1.56
O (0.2577, 0.3939, 0.1619)  1 P 1.56
O (0.2707, 0.9531, 0.2904)  1 P 1.53
O (0.2770, 0.4969, 0.4464)  1 P 1.57
O (0.2904, 0.2707, 0.9531)  1 P 1.53
O (0.3334, 0.0218, 0.0637)  1 P 1.52
O (0.3381, 0.7423, 0.8939)  1 P 1.56
O (0.3939, 0.1619, 0.2577)  1 P 1.56
O (0.4363, 0.6666, 0.5218)  1 P 1.52
O (0.4464, 0.2770, 0.4969)  1 P 1.57
O (0.4531, 0.2096, 0.7293)  1 P 1.53
O (0.4782, 0.9363, 0.8334)  1 P 1.52
O (0.4969, 0.4464, 0.2770)  1 P 1.57
O (0.5031, 0.9464, 0.2230)  1 P 1.57
O (0.5218, 0.4363, 0.6666)  1 P 1.52
O (0.5469, 0.7096, 0.7707)  1 P 1.53
O (0.5536, 0.7770, 0.0031)  1 P 1.57
O (0.5637, 0.1666, 0.9782)  1 P 1.52
O (0.6061, 0.6619, 0.2423)  1 P 1.56
O (0.6619, 0.2423, 0.6061)  1 P 1.56
O (0.6666, 0.5218, 0.4363)  1 P 1.52
O (0.7096, 0.7707, 0.5469)  1 P 1.53
O (0.7230, 0.9969, 0.0536)  1 P 1.57
O (0.7293, 0.4531, 0.2096)  1 P 1.53
O (0.7423, 0.8939, 0.3381)  1 P 1.56
O (0.7577, 0.1061, 0.8381)  1 P 1.56
O (0.7707, 0.5469, 0.7096)  1 P 1.53
O (0.7770, 0.0031, 0.5536)  1 P 1.57
O (0.7904, 0.2293, 0.0469)  1 P 1.53
O (0.8334, 0.4782, 0.9363)  1 P 1.52
O (0.8381, 0.7577, 0.1061)  1 P 1.56
O (0.8939, 0.3381, 0.7423)  1 P 1.56
O (0.9363, 0.8334, 0.4782)  1 P 1.52
O (0.9464, 0.2230, 0.5031)  1 P 1.57
O (0.9531, 0.2904, 0.2707)  1 P 1.53
O (0.9782, 0.5637, 0.1666)  1 P 1.52
O (0.9969, 0.0536, 0.7230)  1 P 1.57

The value obtained for the formation energy (no corrections) is -2.76 eV per atom. Its uncorrected energy is -14.192 eV/atom.


Density functional theory data (meta-GGA SCAN) for a crystal of Cs4MgZr3P6O24 relaxed with PBEsol.

a = 10.3180 Å, b = 10.3137 Å, c = 10.3303 Å
α = 90.00°, β = 90.10°, γ = 90.00°
With the nearest neighbours (Å) after each atom.
Fractional coordinates of all 76 atoms:
Cs (0.0365, 0.0000, 0.1959)  6 O 2.92-3.25
Cs (0.1766, 0.7220, 0.5718)  12 O 3.02-3.38
Cs (0.3125, 0.3583, 0.0646)  9 O 2.99-3.26
Cs (0.4522, 0.0844, 0.7182)  8 O 2.94-3.28
Cs (0.5478, 0.5844, 0.2818)  8 O 2.94-3.28
Cs (0.6875, 0.8583, 0.9354)  9 O 2.99-3.26
Cs (0.8234, 0.2220, 0.4282)  12 O 3.02-3.38
Cs (0.9635, 0.5000, 0.8041)  6 O 2.92-3.25
Mg (0.1047, 0.1477, 0.8566)  6 O 2.05-2.11
Mg (0.8953, 0.6477, 0.1434)  6 O 2.05-2.11
Zr (0.1597, 0.3794, 0.4113)  6 O 2.06-2.10
Zr (0.3331, 0.7057, 0.9144)  6 O 2.04-2.13
Zr (0.3903, 0.9336, 0.3567)  6 O 2.06-2.11
Zr (0.6097, 0.4336, 0.6433)  6 O 2.06-2.11
Zr (0.6669, 0.2057, 0.0856)  6 O 2.04-2.13
Zr (0.8403, 0.8794, 0.5887)  6 O 2.06-2.10
P (0.0194, 0.8364, 0.8793)  4 O 1.51-1.59
P (0.1272, 0.0639, 0.5462)  4 O 1.51-1.57
P (0.2032, 0.6681, 0.2294)  4 O 1.51-1.57
P (0.2888, 0.4148, 0.7278)  4 O 1.51-1.56
P (0.3741, 0.0214, 0.0394)  4 O 1.51-1.56
P (0.4779, 0.2510, 0.3738)  4 O 1.54-1.55
P (0.5221, 0.7510, 0.6262)  4 O 1.54-1.55
P (0.6259, 0.5214, 0.9606)  4 O 1.51-1.56
P (0.7112, 0.9148, 0.2722)  4 O 1.51-1.56
P (0.7968, 0.1681, 0.7706)  4 O 1.51-1.57
P (0.8728, 0.5639, 0.4538)  4 O 1.51-1.57
P (0.9806, 0.3364, 0.1207)  4 O 1.51-1.59
O (0.0023, 0.4884, 0.4763)  1 P 1.56
O (0.0165, 0.9790, 0.9143)  1 P 1.51
O (0.0466, 0.2498, 0.0218)  1 P 1.52
O (0.0521, 0.3163, 0.2552)  1 P 1.59
O (0.0644, 0.7126, 0.2350)  1 P 1.51
O (0.1084, 0.2036, 0.4934)  1 P 1.55
O (0.1624, 0.7867, 0.8573)  1 P 1.58
O (0.1702, 0.0590, 0.6854)  1 P 1.51
O (0.2110, 0.3112, 0.7951)  1 P 1.51
O (0.2254, 0.5388, 0.3046)  1 P 1.56
O (0.2291, 0.9961, 0.4567)  1 P 1.57
O (0.2433, 0.4370, 0.5860)  1 P 1.56
O (0.2559, 0.6494, 0.0896)  1 P 1.56
O (0.2716, 0.0879, 0.9594)  1 P 1.51
O (0.2747, 0.5464, 0.8017)  1 P 1.56
O (0.2944, 0.7695, 0.2966)  1 P 1.57
O (0.3371, 0.0205, 0.1856)  1 P 1.56
O (0.3379, 0.2992, 0.3548)  1 P 1.54
O (0.3962, 0.8786, 0.9953)  1 P 1.56
O (0.4355, 0.3797, 0.7256)  1 P 1.56
O (0.4454, 0.7679, 0.7533)  1 P 1.55
O (0.4540, 0.8342, 0.5218)  1 P 1.55
O (0.4791, 0.1080, 0.4167)  1 P 1.54
O (0.4943, 0.5946, 0.9737)  1 P 1.56
O (0.5057, 0.0946, 0.0263)  1 P 1.56
O (0.5209, 0.6080, 0.5833)  1 P 1.54
O (0.5460, 0.3342, 0.4782)  1 P 1.55
O (0.5546, 0.2679, 0.2467)  1 P 1.55
O (0.5645, 0.8797, 0.2744)  1 P 1.56
O (0.6038, 0.3786, 0.0047)  1 P 1.56
O (0.6621, 0.7992, 0.6452)  1 P 1.54
O (0.6629, 0.5205, 0.8144)  1 P 1.56
O (0.7056, 0.2695, 0.7034)  1 P 1.57
O (0.7253, 0.0464, 0.1983)  1 P 1.56
O (0.7284, 0.5879, 0.0406)  1 P 1.51
O (0.7441, 0.1494, 0.9104)  1 P 1.56
O (0.7567, 0.9370, 0.4140)  1 P 1.56
O (0.7709, 0.4961, 0.5433)  1 P 1.57
O (0.7746, 0.0388, 0.6954)  1 P 1.56
O (0.7890, 0.8112, 0.2049)  1 P 1.51
O (0.8298, 0.5590, 0.3146)  1 P 1.51
O (0.8376, 0.2867, 0.1427)  1 P 1.58
O (0.8916, 0.7036, 0.5066)  1 P 1.55
O (0.9356, 0.2126, 0.7650)  1 P 1.51
O (0.9479, 0.8163, 0.7448)  1 P 1.59
O (0.9534, 0.7498, 0.9782)  1 P 1.52
O (0.9835, 0.4790, 0.0857)  1 P 1.51
O (0.9977, 0.9884, 0.5237)  1 P 1.56

The value obtained for the formation energy (no corrections) is -2.95 eV per atom. Its uncorrected energy is -15.064 eV/atom.